# 1
DFT (PBE) results for a relaxed Er2BiPd crystal.

Lattice parameters (Å, degrees): 3.668 3.668 7.406 90.00 90.00 90.00
Space group P4/mmm (No. 123)
Inequivalent atoms, fractional coordinates:
Er (0.000, 0.000, 0.220) (multiplicity 2)
Bi (0.500, 0.500, 0.500) (multiplicity 1)
Pd (0.500, 0.500, 0.000) (multiplicity 1)

Results
DOS(E_F) = 2.37 states/eV per cell
V = 100 Å³ per cell
ΔH_f (0 K) = -0.697 eV per atom

# 2
DFT (PBE) results for a relaxed ErBiPd4 crystal.

Lattice parameters (Å, degrees): 7.686 7.686 7.686 90.00 90.00 90.00
Space group F-43m (No. 216)
Inequivalent atoms, fractional coordinates:
Er (0.000, 0.000, 0.000) (multiplicity 4)
Bi (0.250, 0.250, 0.250) (multiplicity 4)
Pd (0.126, 0.126, 0.626) (multiplicity 16)

Results
DOS(E_F) = 21.61 states/eV per cell
V = 454 Å³ per cell
ΔH_f (0 K) = -0.529 eV per atom

# 3
DFT (PBE) results for a relaxed ErBiPd4 crystal.

Lattice parameters (Å, degrees): 4.998 8.952 5.010 90.00 92.67 90.00
Space group C2/m (No. 12)
Inequivalent atoms, fractional coordinates:
Er (0.000, 0.000, 0.000) (multiplicity 2)
Bi (0.000, 0.500, 0.500) (multiplicity 2)
Pd (0.000, 0.167, 0.500) (multiplicity 4)
Pd (0.000, 0.333, 0.000) (multiplicity 4)

Results
DOS(E_F) = 3.78 states/eV per cell
V = 224 Å³ per cell
ΔH_f (0 K) = -0.589 eV per atom

# 4
DFT (PBE) results for a relaxed Er2BiPd8 crystal.

Lattice parameters (Å, degrees): 4.769 5.934 14.519 90.00 90.00 90.00
Space group Immm (No. 71)
Inequivalent atoms, fractional coordinates:
Er (0.000, 0.000, 0.187) (multiplicity 4)
Bi (0.000, 0.000, 0.500) (multiplicity 2)
Pd (0.000, 0.242, 0.000) (multiplicity 4)
Pd (0.000, 0.263, 0.354) (multiplicity 8)
Pd (0.000, 0.500, 0.182) (multiplicity 4)

Results
DOS(E_F) = 7.95 states/eV per cell
V = 411 Å³ per cell
ΔH_f (0 K) = -0.592 eV per atom

# 5
DFT (PBE) results for a relaxed Er2BiPd9 crystal.

Lattice parameters (Å, degrees): 4.113 4.113 12.342 90.00 90.00 90.00
Space group P4/mmm (No. 123)
Inequivalent atoms, fractional coordinates:
Er (0.000, 0.000, 0.163) (multiplicity 2)
Bi (0.000, 0.000, 0.500) (multiplicity 1)
Pd (0.000, 0.500, 0.000) (multiplicity 2)
Pd (0.000, 0.500, 0.332) (multiplicity 4)
Pd (0.500, 0.500, 0.169) (multiplicity 2)
Pd (0.500, 0.500, 0.500) (multiplicity 1)

Results
DOS(E_F) = 3.22 states/eV per cell
V = 209 Å³ per cell
ΔH_f (0 K) = -0.694 eV per atom

# 6
DFT (PBE) results for a relaxed Er2BiPd7 crystal.

Lattice parameters (Å, degrees): 7.302 14.788 4.217 90.00 90.00 90.00
Space group Cmmm (No. 65)
Inequivalent atoms, fractional coordinates:
Er (0.000, 0.195, 0.000) (multiplicity 4)
Bi (0.000, 0.500, 0.500) (multiplicity 2)
Pd (0.000, 0.000, 0.000) (multiplicity 2)
Pd (0.000, 0.311, 0.500) (multiplicity 4)
Pd (0.186, 0.399, 0.000) (multiplicity 8)

Results
DOS(E_F) = 7.07 states/eV per cell
V = 455 Å³ per cell
ΔH_f (0 K) = -0.184 eV per atom

# 7
DFT (PBE) results for a relaxed Er2BiPd2 crystal.

Lattice parameters (Å, degrees): 7.984 7.984 3.536 90.00 90.00 90.00
Space group P4/mbm (No. 127)
Inequivalent atoms, fractional coordinates:
Er (0.166, 0.334, 0.000) (multiplicity 4)
Bi (0.000, 0.000, 0.500) (multiplicity 2)
Pd (0.126, 0.626, 0.500) (multiplicity 4)

Results
DOS(E_F) = 5.43 states/eV per cell
V = 225 Å³ per cell
ΔH_f (0 K) = -0.882 eV per atom

# 8
DFT (PBE) results for a relaxed ErBi2Pd7 crystal.

Lattice parameters (Å, degrees): 4.075 4.075 23.773 90.00 90.00 90.00
Space group I4/mmm (No. 139)
Inequivalent atoms, fractional coordinates:
Er (0.000, 0.000, 0.000) (multiplicity 2)
Bi (0.000, 0.000, 0.332) (multiplicity 4)
Pd (0.000, 0.000, 0.500) (multiplicity 2)
Pd (0.000, 0.500, 0.087) (multiplicity 8)
Pd (0.000, 0.500, 0.250) (multiplicity 4)

Results
DOS(E_F) = 6.51 states/eV per cell
V = 395 Å³ per cell
ΔH_f (0 K) = -0.474 eV per atom

# 9
DFT (PBE) results for a relaxed Er5BiPd crystal.

Lattice parameters (Å, degrees): 11.226 6.687 11.327 90.00 106.00 90.00
Space group C2/c (No. 15)
Inequivalent atoms, fractional coordinates:
Er (0.000, 0.052, 0.250) (multiplicity 4)
Er (0.127, 0.346, 0.043) (multiplicity 8)
Er (0.223, 0.166, 0.642) (multiplicity 8)
Bi (0.000, 0.445, 0.750) (multiplicity 4)
Pd (0.000, 0.000, 0.000) (multiplicity 4)

Results
DOS(E_F) = 31.93 states/eV per cell
V = 817 Å³ per cell
ΔH_f (0 K) = -0.297 eV per atom

# 10
DFT (PBE) results for a relaxed Er4BiPd15 crystal.

Lattice parameters (Å, degrees): 4.107 4.107 20.572 90.00 90.00 90.00
Space group P4/mmm (No. 123)
Inequivalent atoms, fractional coordinates:
Er (0.000, 0.000, 0.099) (multiplicity 2)
Er (0.000, 0.000, 0.297) (multiplicity 2)
Bi (0.000, 0.000, 0.500) (multiplicity 1)
Pd (0.000, 0.500, 0.000) (multiplicity 2)
Pd (0.000, 0.500, 0.200) (multiplicity 4)
Pd (0.000, 0.500, 0.399) (multiplicity 4)
Pd (0.500, 0.500, 0.100) (multiplicity 2)
Pd (0.500, 0.500, 0.301) (multiplicity 2)
Pd (0.500, 0.500, 0.500) (multiplicity 1)

Results
DOS(E_F) = 9.22 states/eV per cell
V = 347 Å³ per cell
ΔH_f (0 K) = -0.777 eV per atom

# 11
DFT (PBE) results for a relaxed Er2BiPd crystal.

Lattice parameters (Å, degrees): 4.3244 4.3244 20.3224 90.00 90.00 120.00
Space group R-3m (No. 166, hexagonal axes)
Inequivalent atoms, fractional coordinates:
Er (0.0000, 0.0000, 0.2392) (multiplicity 6)
Bi (0.0000, 0.0000, 0.0000) (multiplicity 3)
Pd (0.0000, 0.0000, 0.5000) (multiplicity 3)

Results
DOS(E_F) = 6.64 states/eV per cell
V = 329 Å³ per cell
ΔH_f (0 K) = -0.685 eV per atom

# 12
DFT (PBE) results for a relaxed ErBi3Pd12 crystal.

Lattice parameters (Å, degrees): 4.132 4.132 16.493 90.00 90.00 90.00
Space group P4/mmm (No. 123)
Inequivalent atoms, fractional coordinates:
Er (0.000, 0.000, 0.000) (multiplicity 1)
Bi (0.000, 0.000, 0.247) (multiplicity 2)
Bi (0.000, 0.000, 0.500) (multiplicity 1)
Pd (0.000, 0.500, 0.124) (multiplicity 4)
Pd (0.000, 0.500, 0.375) (multiplicity 4)
Pd (0.500, 0.500, 0.000) (multiplicity 1)
Pd (0.500, 0.500, 0.252) (multiplicity 2)
Pd (0.500, 0.500, 0.500) (multiplicity 1)

Results
DOS(E_F) = 6.40 states/eV per cell
V = 282 Å³ per cell
ΔH_f (0 K) = -0.408 eV per atom

# 13
DFT (PBE) results for a relaxed ErBiPd6 crystal.

Lattice parameters (Å, degrees): 8.287 5.532 7.351 90.00 108.89 90.00
Space group C2/m (No. 12)
Inequivalent atoms, fractional coordinates:
Er (0.000, 0.000, 0.000) (multiplicity 2)
Bi (0.000, 0.500, 0.500) (multiplicity 2)
Pd (0.145, 0.000, 0.439) (multiplicity 4)
Pd (0.200, 0.239, 0.802) (multiplicity 8)

Results
DOS(E_F) = 7.80 states/eV per cell
V = 319 Å³ per cell
ΔH_f (0 K) = -0.299 eV per atom

# 14
DFT (PBE) results for a relaxed ErBi2Pd7 crystal.

Lattice parameters (Å, degrees): 7.503 14.668 4.088 90.00 90.00 90.00
Space group Cmmm (No. 65)
Inequivalent atoms, fractional coordinates:
Er (0.000, 0.000, 0.000) (multiplicity 2)
Bi (0.000, 0.312, 0.500) (multiplicity 4)
Pd (0.000, 0.195, 0.000) (multiplicity 4)
Pd (0.000, 0.500, 0.500) (multiplicity 2)
Pd (0.184, 0.098, 0.500) (multiplicity 8)

Results
DOS(E_F) = 7.36 states/eV per cell
V = 450 Å³ per cell
ΔH_f (0 K) = -0.192 eV per atom

# 15
DFT (PBE) results for a relaxed PmErBiPd crystal.

Lattice parameters (Å, degrees): 7.449 7.449 7.449 90.00 90.00 90.00
Space group F-43m (No. 216)
Inequivalent atoms, fractional coordinates:
Pm (0.000, 0.000, 0.000) (multiplicity 4)
Er (0.000, 0.000, 0.500) (multiplicity 4)
Bi (0.250, 0.250, 0.250) (multiplicity 4)
Pd (0.250, 0.250, 0.750) (multiplicity 4)

Results
DOS(E_F) = 16.10 states/eV per cell
V = 413 Å³ per cell
ΔH_f (0 K) = -0.634 eV per atom

# 16
DFT (PBE) results for a relaxed ErBiPdRu crystal.

Lattice parameters (Å, degrees): 6.807 6.807 6.807 90.00 90.00 90.00
Space group F-43m (No. 216)
Inequivalent atoms, fractional coordinates:
Er (0.000, 0.000, 0.000) (multiplicity 4)
Bi (0.000, 0.000, 0.500) (multiplicity 4)
Pd (0.250, 0.250, 0.250) (multiplicity 4)
Ru (0.250, 0.250, 0.750) (multiplicity 4)

Results
DOS(E_F) = 15.61 states/eV per cell
V = 315 Å³ per cell
ΔH_f (0 K) = -0.335 eV per atom

# 17
DFT (PBE) results for a relaxed PmErBi2 crystal.

Lattice parameters (Å, degrees): 5.884 5.884 3.425 90.00 90.00 90.00
Space group P4/mmm (No. 123)
Inequivalent atoms, fractional coordinates:
Pm (0.000, 0.000, 0.000) (multiplicity 1)
Er (0.500, 0.500, 0.000) (multiplicity 1)
Bi (0.000, 0.500, 0.500) (multiplicity 2)

Results
DOS(E_F) = 1.61 states/eV per cell
V = 119 Å³ per cell
ΔH_f (0 K) = -0.663 eV per atom

# 18
DFT (PBE) results for a relaxed Pm2ErBi3 crystal.

Lattice parameters (Å, degrees): 9.067 12.833 27.225 90.00 90.00 90.00
Space group Fddd (No. 70, origin choice 2)
Inequivalent atoms, fractional coordinates:
Pm (0.125, 0.125, 0.043) (multiplicity 16)
Pm (0.125, 0.125, 0.374) (multiplicity 16)
Er (0.125, 0.125, 0.541) (multiplicity 16)
Bi (0.118, 0.375, 0.875) (multiplicity 16)
Bi (0.121, 0.372, 0.710) (multiplicity 32)

Results
DOS(E_F) = 11.75 states/eV per cell
V = 3168 Å³ per cell
ΔH_f (0 K) = -0.895 eV per atom

# 19
DFT (PBE) results for a relaxed Pm2ErBi3 crystal.

Lattice parameters (Å, degrees): 14.339 6.416 9.072 90.00 108.46 90.00
Space group C2/c (No. 15)
Inequivalent atoms, fractional coordinates:
Pm (0.168, 0.000, 0.084) (multiplicity 8)
Er (0.000, 0.499, 0.250) (multiplicity 4)
Bi (0.000, 0.001, 0.750) (multiplicity 4)
Bi (0.162, 0.500, 0.081) (multiplicity 8)

Results
DOS(E_F) = 3.74 states/eV per cell
V = 792 Å³ per cell
ΔH_f (0 K) = -0.894 eV per atom

# 20
DFT (PBE) results for a relaxed Pm3ErBi3 crystal.

Lattice parameters (Å, degrees): 9.6619 9.6619 6.3495 90.00 90.00 120.00
Space group P6_3/m (No. 176)
Inequivalent atoms, fractional coordinates:
Pm (0.0770, 0.6817, 0.2500) (multiplicity 6)
Er (0.3333, 0.6667, 0.7500) (multiplicity 2)
Bi (0.0486, 0.7146, 0.7500) (multiplicity 6)

Results
DOS(E_F) = 9.99 states/eV per cell
V = 513 Å³ per cell
ΔH_f (0 K) = -0.572 eV per atom